1.
Computed, not measured: a relaxed RbY2N2 crystal at the PBE-GGA level of DFT. Values from VASP.

Structure (Quantum ESPRESSO input):
```
&SYSTEM
  ibrav = 0, nat = 5, ntyp = 3
/
ATOMIC_SPECIES
Y 88.91 Y.upf
Rb 85.47 Rb.upf
N 14.01 N.upf
CELL_PARAMETERS angstrom
-2.0407 -1.8624 3.7299
-2.7049 -2.5686 -2.7625
2.6767 -7.6082 0.5537
ATOMIC_POSITIONS crystal
Y 0.7500 0.2500 0.5000
Y 0.2500 0.7500 0.5000
Rb 0.0000 0.0000 0.0000
N 0.2729 0.2729 0.4541
N 0.7271 0.7271 0.5459
```

Summary:
total DFT energy (no corrections): -6.858 eV per atom
excess energy over the best structure of this formula in the dataset: 0 meV per atom
SG: I4/mmm (139)

***

2.
Computed, not measured: a relaxed PmPr crystal at the PBE-GGA level of DFT. Values from VASP.

Structure (Quantum ESPRESSO input):
```
&SYSTEM
  ibrav = 0, nat = 4, ntyp = 2
/
ATOMIC_SPECIES
Pr 140.91 Pr.upf
Pm 145.00 Pm.upf
CELL_PARAMETERS angstrom
-3.0209 -2.0352 -0.5198
2.4972 -4.1854 1.8740
-2.2919 1.6697 6.7830
ATOMIC_POSITIONS crystal
Pr 0.2498 0.7500 0.6269
Pr 0.7502 0.2500 0.3731
Pm 0.2502 0.7500 0.1230
Pm 0.7498 0.2500 0.8770
```

Summary:
ΔH_f (0 K): 0.03 eV per formula unit
total DFT energy (no corrections): -4.752 eV per atom
excess energy over the best structure of this formula in the dataset: 6 meV per atom
SG: Pmmn (59)

***

3.
Computed, not measured: a relaxed YHg2Pd crystal at the PBE-GGA level of DFT. Values from VASP.

Structure (Quantum ESPRESSO input):
```
&SYSTEM
  ibrav = 0, nat = 8, ntyp = 3
/
ATOMIC_SPECIES
Y 88.91 Y.upf
Hg 200.59 Hg.upf
Pd 106.42 Pd.upf
CELL_PARAMETERS angstrom
4.4223 0.0000 -1.2265
-0.3401 4.4092 -1.2265
0.1344 0.1452 9.0707
ATOMIC_POSITIONS crystal
Y 0.1402 0.1402 0.2805
Y 0.8598 0.8598 0.7195
Hg 0.0000 0.5000 0.0000
Hg 0.5000 0.0000 0.0000
Hg 0.3564 0.3564 0.7129
Hg 0.6436 0.6436 0.2871
Pd 0.2500 0.7500 0.5000
Pd 0.7500 0.2500 0.5000
```

Summary:
ΔH_f (0 K): -2.00 eV per formula unit
total DFT energy (no corrections): -3.564 eV per atom
SG: I4/mmm (139)

***

What is the total DFT energy (no corrections) in the third record?
-3.564 eV per atom